[1]
Compound: AlTl2Pt
Source: Alexandria via LeMat-Bulk
Functional: PBE-GGA
Structure: optimized geometry

```
4
Lattice="3.3534 0.0510 0.0000 -0.0516 3.3534 0.0000 0.0000 0.0000 7.9559" Properties=species:S:1:pos:R:3 pbc="T T T"
Tl 0.0000 0.0000 7.7554
Tl 0.0000 0.0000 4.1784
Al 1.6509 1.7022 1.9890
Pt 1.6509 1.7022 5.9669
```

* offset from the most stable computed form: 442 meV/atom
* VASP energy: -13.724 eV/f.u.
* energy of formation from the pure elements: 0.198 eV/atom
* theoretical density: 11.71 g/cm3


[2]
Compound: AlTl3Pt
Source: Alexandria via LeMat-Bulk
Functional: PBE-GGA
Structure: optimized geometry

```
5
Lattice="5.3374 0.0000 0.0000 0.0000 5.3374 0.0000 0.0000 0.0000 5.3374" Properties=species:S:1:pos:R:3 pbc="T T T"
Tl 0.0000 2.6687 0.0000
Tl 0.0000 0.0000 2.6687
Tl 2.6687 0.0000 0.0000
Al 2.6687 2.6687 2.6687
Pt 0.0000 0.0000 0.0000
```

* offset from the most stable computed form: 0 meV/atom
* VASP energy: -15.423 eV/f.u.
* energy of formation from the pure elements: 0.292 eV/atom
* theoretical density: 9.12 g/cm3


[3]
Compound: AlTl2Pt
Source: Alexandria via LeMat-Bulk
Functional: PBE-GGA
Structure: optimized geometry

```
4
Lattice="-3.9322 2.0134 -0.1873 -3.6154 -1.1009 -2.2952 -4.0610 -3.5229 4.5945" Properties=species:S:1:pos:R:3 pbc="T T T"
Tl -4.2162 -3.2937 4.2326
Tl -3.0344 -0.8337 0.7756
Al -5.9496 -1.7958 1.7589
Pt -8.2735 -1.5154 0.9953
```

* offset from the most stable computed form: 42 meV/atom
* VASP energy: -15.322 eV/f.u.
* energy of formation from the pure elements: -0.202 eV/atom
* theoretical density: 10.23 g/cm3


[4]
Compound: AlTl2Pt
Source: Alexandria via LeMat-Bulk
Functional: PBE-GGA
Structure: optimized geometry

```
4
Lattice="0.0000 3.5243 3.5243 3.5243 0.0000 3.5243 3.5243 3.5243 0.0000" Properties=species:S:1:pos:R:3 pbc="T T T"
Tl 1.7621 1.7621 1.7621
Tl 5.2864 5.2864 5.2864
Al 0.0000 0.0000 0.0000
Pt 3.5243 3.5243 3.5243
```

* offset from the most stable computed form: 467 meV/atom
* VASP energy: -13.621 eV/f.u.
* energy of formation from the pure elements: 0.224 eV/atom
* theoretical density: 11.97 g/cm3